## 1
DFT (PBE+U) results for Rb3CoF8 after structural relaxation.

Properties
V in A^3/atom: 18.582
Total magnetic moment in μB/atom: 0.501

Unit cell a=6.1342 b=6.1342 c=11.8520 alpha=90.00 beta=90.00 gamma=90.00
With the nearest neighbours (Å) after each atom.
Space group I4/mmm (No. 139)
Asymmetric unit:
Rb 0.0000 0.0000 0.0000  8 F 2.91
Rb 0.0000 0.5000 0.2500  8 F 2.84
Co 0.0000 0.0000 0.5000  8 F 2.06
F 0.1939 0.1939 0.3998  1 Co 2.06

---

## 2
DFT (PBE+U) results for Rb3CoF8 after structural relaxation.

Properties
V in A^3/atom: 18.322
Total magnetic moment in μB/atom: 0.169

Unit cell a=8.3333 b=8.3333 c=7.3116 alpha=90.00 beta=90.00 gamma=120.00
With the nearest neighbours (Å) after each atom.
Space group P6_3mc (No. 186)
Asymmetric unit:
Rb 0.1592 0.3183 0.0000  2 F 2.62-2.92
Co 0.3333 0.6667 0.4350  6 F 1.81
F 0.0000 0.0000 0.2543  6 Rb 2.92-2.96
F 0.1285 0.5643 0.2930  1 Co 1.81
F 0.2290 0.4580 0.5714  1 Co 1.81
F 0.3333 0.6667 0.8987  3 Rb 2.62, 3 F 2.83

---

Bottom line: 2, by a margin of 173 meV per atom.